# 1
! Ac2Zn5Ga3 | Alexandria via LeMat-Bulk | PBE | relaxed; values from VASP
&SYSTEM
  ibrav = 0, nat = 20, ntyp = 3
/
ATOMIC_SPECIES
Ac 227.00 Ac.upf
Zn 65.41 Zn.upf
Ga 69.72 Ga.upf
CELL_PARAMETERS angstrom
-1.557 -0.501 6.053
-7.678 -4.271 0.919
2.132 -7.979 3.135
ATOMIC_POSITIONS angstrom
Ac -4.747 -3.729 1.718
Ac -0.584 -5.847 5.860
Ac -2.356 -9.022 8.389
Ac -6.519 -6.904 4.247
Zn -0.396 -9.246 5.627
Zn -8.495 -6.730 7.000
Zn -6.707 -3.505 4.480
Zn 1.392 -6.022 3.107
Zn -4.925 -9.399 6.074
Zn -2.178 -3.353 4.033
Zn -3.941 -6.501 6.567
Zn -3.162 -6.250 3.540
Zn -2.957 -3.603 7.060
Zn -4.146 -9.148 3.048
Ga -2.744 -8.344 5.098
Ga -6.138 -7.606 7.534
Ga -4.359 -4.408 5.009
Ga -0.965 -5.146 2.573
Ga -0.389 -0.125 1.513
Ga -1.167 -0.376 4.539
! Space group = Ibam
! Energy of formation from the pure elements = -42.0 kJ/mol of atoms

# 2
! Ac5ZnGa2 | Alexandria via LeMat-Bulk | PBE | relaxed; values from VASP
&SYSTEM
  ibrav = 0, nat = 16, ntyp = 3
/
ATOMIC_SPECIES
Ac 227.00 Ac.upf
Zn 65.41 Zn.upf
Ga 69.72 Ga.upf
CELL_PARAMETERS angstrom
-1.352 7.924 1.186
0.409 1.270 -8.015
-7.728 -5.902 2.790
ATOMIC_POSITIONS angstrom
Ac -5.897 0.876 -2.840
Ac -2.982 6.012 -5.996
Ac 0.000 0.000 0.000
Ac -0.472 4.597 -3.414
Ac -5.689 -2.721 1.957
Ac -6.304 1.432 1.346
Ac -5.282 -3.277 -2.229
Ac -2.367 1.859 -5.385
Ac -3.389 6.568 -1.810
Ac -2.774 2.415 -1.199
Zn -4.571 3.944 -3.727
Zn -4.100 -0.653 -0.312
Ga 0.006 1.386 -2.969
Ga -0.783 5.000 -0.178
Ga -0.161 4.194 -6.651
Ga -0.949 7.807 -3.860
! Space group = I4/mcm
! Energy of formation from the pure elements = -29.1 kJ/mol of atoms

# 3
! AcZnGa3 | Alexandria via LeMat-Bulk | PBE | relaxed; values from VASP
&SYSTEM
  ibrav = 0, nat = 5, ntyp = 3
/
ATOMIC_SPECIES
Ac 227.00 Ac.upf
Zn 65.41 Zn.upf
Ga 69.72 Ga.upf
CELL_PARAMETERS angstrom
4.250 -0.002 1.474
-0.508 4.218 1.477
0.252 0.279 6.181
ATOMIC_POSITIONS angstrom
Ac 1.830 1.116 6.474
Zn -0.153 3.673 5.321
Ga 2.379 4.128 4.883
Ga 0.503 2.023 3.407
Ga 3.070 2.518 2.866
! Space group = Cm
! Energy of formation from the pure elements = -48.0 kJ/mol of atoms

# 4
! Ac2ZnGa2 | Alexandria via LeMat-Bulk | PBE | relaxed; values from VASP
&SYSTEM
  ibrav = 0, nat = 10, ntyp = 3
/
ATOMIC_SPECIES
Ac 227.00 Ac.upf
Zn 65.41 Zn.upf
Ga 69.72 Ga.upf
CELL_PARAMETERS angstrom
-4.148 2.400 -0.094
-3.646 -1.698 -4.664
-6.271 -5.826 5.750
ATOMIC_POSITIONS angstrom
Ac -6.016 -0.804 0.507
Ac -10.431 -3.519 3.792
Ac -8.049 -4.320 0.485
Ac -3.634 -1.604 -2.801
Zn -7.058 -2.500 3.186
Zn -7.007 -2.624 -2.194
Ga -4.854 -3.527 1.915
Ga -11.293 -5.120 0.978
Ga -9.211 -1.597 -0.923
Ga -2.772 -0.004 0.014
! Space group = C2/m
! Energy of formation from the pure elements = -46.1 kJ/mol of atoms